The following is a PBE calculation of an optimized crystal structure of CaSb3Au, from the Alexandria database.

The structure in POSCAR format:
```
CaSb3Au
1.0
5.658 0.000 0.000
0.000 5.658 0.000
0.000 0.000 5.658
Ca Sb Au
1 3 1
direct
0.000 0.000 0.000
0.000 0.000 0.500
0.000 0.500 0.000
0.500 0.000 0.000
0.500 0.500 0.500
```

Results
Energy relative to the elements, uncorrected in eV/atom: 0.817
Polymorph energy (0 for the lowest one) in meV per atom: 733
E in eV/atom: -2.712
Space-group type: No. 221